NiIr2Pb PBEsol optimized geometry; size of the total moment = 0.0 μB per formula unit; volume = 15.911 Å³/atom; SG = No. 8; ΔE_f = 0.418 eV per atom
1.0
-0.285 0.890 -2.751
2.570 -3.732 0.061
-4.705 -2.175 -0.216
Ir Ni Pb
2 1 1
Cartesian
-0.222 -0.163 -0.030
-0.108 -1.758 -2.092
0.231 -4.251 -1.399
-2.246 -3.218 -0.808